# 1
! GGA-PBE CuTe2RhO8, optimized geometry; values from VASP
! Raw formation energy (kJ/mol of formula units): -446.1
! Crystal system: tetragonal
! N(E_F) (states/eV per cell): 4.80
! Magnetic moment (μB/cell): 2.58
&SYSTEM
  ibrav = 0, nat = 12, ntyp = 4
/
ATOMIC_SPECIES
Cu 63.55 Cu.upf
Te 127.60 Te.upf
Rh 102.91 Rh.upf
O 16.00 O.upf
CELL_PARAMETERS angstrom
-5.410 0.663 2.266
1.490 -5.703 0.311
3.866 3.254 3.050
ATOMIC_POSITIONS angstrom
Cu 0.000 0.000 0.000
Te -1.752 0.699 3.302
Te -1.960 -2.520 1.288
Rh 1.699 -2.484 2.324
O -0.699 0.859 1.740
O -0.092 -2.017 1.460
O 1.596 2.233 3.143
O -1.323 2.444 3.890
O -3.052 -2.724 2.880
O -3.576 0.242 3.109
O -1.409 -0.749 4.468
O 1.442 -1.062 3.768



# 2
! GGA-PBE HoZn2Ag8, optimized geometry; values from VASP
! Crystal system: monoclinic
! Energy above the lowest structure with this stoichiometry (kJ/mol of formula units): 0.0
! Formation energy (eV/atom): -0.0466
! N(E_F) (states/eV per cell): 3.70
! Magnetic moment (μB/cell): 0.00
&SYSTEM
  ibrav = 0, nat = 11, ntyp = 3
/
ATOMIC_SPECIES
Ho 164.93 Ho.upf
Zn 65.41 Zn.upf
Ag 107.87 Ag.upf
CELL_PARAMETERS angstrom
-1.025 5.050 -0.426
-6.983 -1.127 -3.245
-7.432 -0.761 2.180
ATOMIC_POSITIONS angstrom
Ho 0.000 0.000 0.000
Zn -4.024 1.312 -0.422
Zn -11.417 1.851 -1.070
Ag -6.466 1.982 0.706
Ag -9.200 1.364 0.521
Ag -3.930 3.991 -0.595
Ag -11.511 -0.829 -0.897
Ag -6.241 1.798 -2.013
Ag -8.975 1.180 -2.198
Ag -5.796 -0.668 -0.435
Ag -9.645 3.830 -1.057



# 3
! GGA-PBE BiTePSe2, optimized geometry; values from VASP
! Raw formation energy (kJ/mol of formula units): 493.8
! Crystal system: tetragonal
! N(E_F) (states/eV per cell): 5.23
! Magnetic moment (μB/cell): 0.99
&SYSTEM
  ibrav = 0, nat = 5, ntyp = 4
/
ATOMIC_SPECIES
P 30.97 P.upf
Te 127.60 Te.upf
Bi 208.98 Bi.upf
Se 78.96 Se.upf
CELL_PARAMETERS angstrom
-4.289 -3.079 -0.826
3.536 -5.152 0.845
-1.087 0.111 5.231
ATOMIC_POSITIONS angstrom
P -0.920 -4.060 2.625
Te 1.768 -2.576 0.422
Bi 0.000 0.000 0.000
Se -0.544 0.056 2.616
Se -2.145 -1.540 -0.413



# 4
! GGA-PBE Ho2ErSnC, optimized geometry; values from VASP
! Crystal system: tetragonal
! Formation energy (eV/atom): -0.6475
! N(E_F) (states/eV per cell): 2.09
! Magnetic moment (μB/cell): 0.00
&SYSTEM
  ibrav = 0, nat = 5, ntyp = 4
/
ATOMIC_SPECIES
Ho 164.93 Ho.upf
Er 167.26 Er.upf
Sn 118.71 Sn.upf
C 12.01 C.upf
CELL_PARAMETERS angstrom
4.838 0.000 0.000
0.000 4.863 0.000
0.000 0.000 4.863
ATOMIC_POSITIONS angstrom
Ho 0.000 0.000 2.431
Ho 0.000 2.431 0.000
Er 2.419 0.000 0.000
Sn 2.419 2.431 2.431
C 0.000 0.000 0.000



# 5
! GGA-PBE RuPtW2, optimized geometry; values from VASP
! Crystal system: trigonal
! Energy above the lowest structure with this stoichiometry (kJ/mol of formula units): 87.4
! Formation energy (eV/atom): 0.0550
! N(E_F) (states/eV per cell): 2.34
! Magnetic moment (μB/cell): 0.00
&SYSTEM
  ibrav = 0, nat = 4, ntyp = 3
/
ATOMIC_SPECIES
Pt 195.08 Pt.upf
Ru 101.07 Ru.upf
W 183.84 W.upf
CELL_PARAMETERS angstrom
9.432 0.016 0.010
9.017 2.767 0.010
9.017 1.360 2.409
ATOMIC_POSITIONS angstrom
Pt 13.735 2.072 1.215
Ru 20.536 3.098 1.816
W 0.113 0.017 0.010
W 6.817 1.028 0.603



# 6
! GGA-PBE KRb6Tl6, optimized geometry; values from VASP
! Crystal system: orthorhombic
! Formation energy (eV/atom): -0.0029
! N(E_F) (states/eV per cell): 7.36
! Magnetic moment (μB/cell): 0.00
&SYSTEM
  ibrav = 0, nat = 13, ntyp = 3
/
ATOMIC_SPECIES
K 39.10 K.upf
Rb 85.47 Rb.upf
Tl 204.38 Tl.upf
CELL_PARAMETERS angstrom
-6.360 2.183 -2.602
-7.415 -2.501 6.038
-2.127 9.198 2.927
ATOMIC_POSITIONS angstrom
K 0.000 0.000 0.000
Rb -8.460 5.162 5.032
Rb -7.442 3.718 1.330
Rb -3.833 5.423 3.930
Rb -5.709 1.274 5.034
Rb -3.731 1.873 0.701
Rb -12.171 7.007 5.661
Tl -3.708 -1.250 3.019
Tl -6.888 -0.159 1.718
Tl -1.064 4.599 1.463
Tl -4.243 5.691 0.162
Tl -9.343 1.361 4.000
Tl -6.559 7.519 2.362



# 7
! GGA-PBE MgSiW2, optimized geometry; values from VASP
! Raw formation energy (kJ/mol of formula units): 137.4
! Crystal system: tetragonal
! N(E_F) (states/eV per cell): 2.54
! Magnetic moment (μB/cell): 0.00
&SYSTEM
  ibrav = 0, nat = 4, ntyp = 3
/
ATOMIC_SPECIES
Mg 24.30 Mg.upf
Si 28.09 Si.upf
W 183.84 W.upf
CELL_PARAMETERS angstrom
-0.748 -4.098 -0.521
3.429 -0.409 -1.710
1.618 -0.731 3.420
ATOMIC_POSITIONS angstrom
Mg 1.341 -2.253 -1.116
Si 0.435 -2.414 1.449
W 0.000 0.000 0.000
W 2.524 -0.570 0.855



# 8
! GGA-PBE CePbAu4, optimized geometry; values from VASP
! Crystal system: hexagonal
! Energy above the lowest structure with this stoichiometry (kJ/mol of formula units): 0.0
! Formation energy (eV/atom): -0.4055
! N(E_F) (states/eV per cell): 6.09
! Magnetic moment (μB/cell): 0.80
&SYSTEM
  ibrav = 0, nat = 6, ntyp = 3
/
ATOMIC_SPECIES
Ce 140.12 Ce.upf
Pb 207.20 Pb.upf
Au 196.97 Au.upf
CELL_PARAMETERS angstrom
4.857 0.000 0.000
-2.428 4.206 0.000
0.000 0.000 6.711
ATOMIC_POSITIONS angstrom
Ce 0.000 0.000 0.000
Pb 0.000 0.000 3.355
Au 0.000 2.804 1.620
Au 0.000 2.804 5.090
Au 2.428 1.402 1.620
Au 2.428 1.402 5.090



# 9
! GGA-PBE Cu2AsAu2, optimized geometry; values from VASP
! Crystal system: tetragonal
! Energy above the lowest structure with this stoichiometry (kJ/mol of formula units): 0.0
! Formation energy (eV/atom): 0.0944
! N(E_F) (states/eV per cell): 3.24
! Magnetic moment (μB/cell): 0.00
&SYSTEM
  ibrav = 0, nat = 10, ntyp = 3
/
ATOMIC_SPECIES
As 74.92 As.upf
Au 196.97 Au.upf
Cu 63.55 Cu.upf
CELL_PARAMETERS angstrom
-3.506 5.444 -0.324
-5.411 -3.424 1.014
0.403 0.485 3.791
ATOMIC_POSITIONS angstrom
As 0.000 0.000 0.000
As -4.458 1.010 0.345
Au -3.916 -1.149 2.512
Au -6.661 0.945 2.535
Au -4.597 3.655 1.969
Au -1.853 1.560 1.945
Cu -5.920 -0.984 0.755
Cu -6.477 2.494 0.369
Cu -2.997 3.004 -0.066
Cu -2.440 -0.475 0.320



# 10
! GGA-PBE Sn2I2Cl, optimized geometry; values from VASP
! Raw formation energy (kJ/mol of formula units): -184.0
! Crystal system: orthorhombic
! Energy above the lowest structure with this stoichiometry (kJ/mol of formula units): 5.6
! N(E_F) (states/eV per cell): 10.10
! Magnetic moment (μB/cell): 0.00
&SYSTEM
  ibrav = 0, nat = 20, ntyp = 3
/
ATOMIC_SPECIES
Sn 118.71 Sn.upf
I 126.90 I.upf
Cl 35.45 Cl.upf
CELL_PARAMETERS angstrom
-4.411 -5.021 -1.287
6.809 -5.049 -3.638
2.419 -5.101 11.608
ATOMIC_POSITIONS angstrom
Sn 1.425 -9.800 6.348
Sn 0.049 -2.980 2.456
Sn 3.391 -5.371 0.335
Sn 4.767 -12.192 4.227
Sn 2.707 -8.493 -3.142
Sn 4.693 -7.473 4.069
Sn 2.109 -6.679 9.825
Sn 0.123 -7.698 2.614
I 2.476 -9.957 3.362
I 4.898 -5.954 -2.561
I 2.340 -5.215 3.321
I -0.082 -9.218 9.244
I -2.102 -5.578 1.967
I 3.645 -7.348 7.168
I 6.918 -9.594 4.716
I 1.171 -7.824 -0.485
Cl -0.345 -8.001 5.399
Cl 1.109 -3.280 -0.006
Cl 5.161 -7.170 1.284
Cl 3.707 -11.892 6.689



# 11
! GGA-PBE Tm5IrRh4, optimized geometry; values from VASP
! Crystal system: tetragonal
! Formation energy (eV/atom): -0.9572
! N(E_F) (states/eV per cell): 4.26
! Magnetic moment (μB/cell): 0.00
&SYSTEM
  ibrav = 0, nat = 10, ntyp = 3
/
ATOMIC_SPECIES
Tm 168.93 Tm.upf
Ir 192.22 Ir.upf
Rh 102.91 Rh.upf
CELL_PARAMETERS angstrom
3.327 0.000 0.000
0.000 3.327 0.000
0.000 0.000 17.408
ATOMIC_POSITIONS angstrom
Tm 1.663 1.663 1.739
Tm 1.663 1.663 5.229
Tm 1.663 1.663 8.704
Tm 1.663 1.663 12.180
Tm 1.663 1.663 15.669
Ir 0.000 0.000 0.000
Rh 0.000 0.000 3.506
Rh 0.000 0.000 6.967
Rh 0.000 0.000 10.441
Rh 0.000 0.000 13.903



# 12
! GGA-PBE MnSb2I, optimized geometry; values from VASP
! Raw formation energy (kJ/mol of formula units): 258.1
! Crystal system: cubic
! Energy above the lowest structure with this stoichiometry (kJ/mol of formula units): 77.6
! N(E_F) (states/eV per cell): 4.71
! Magnetic moment (μB/cell): 3.76
&SYSTEM
  ibrav = 0, nat = 4, ntyp = 3
/
ATOMIC_SPECIES
I 126.90 I.upf
Sb 121.76 Sb.upf
Mn 54.94 Mn.upf
CELL_PARAMETERS angstrom
0.000 3.747 3.747
3.747 0.000 3.747
3.747 3.747 0.000
ATOMIC_POSITIONS angstrom
I 3.747 3.747 3.747
Sb 1.873 1.873 1.873
Sb 5.620 5.620 5.620
Mn 0.000 0.000 0.000



- Among the records above, which one has the highest N(E_F)?
  Sn2I2Cl



- Look up the N(E_F) of the seventh one.
  2.54 states/eV per cell